(1)
Compound: NdAgRh
Source: Alexandria
Functional: PBE
Structure: optimized geometry

## Properties
Relative energy among the computed polymorphs: 0.000 eV per atom
Energy of formation from the pure elements: -9.99 kcal/mol of atoms

Geometry as CIF:
```
data_NdAgRh
_space_group_name_H-M_alt 'P 1'
_space_group_IT_number 1
_cell_length_a 3.806
_cell_length_b 17.529
_cell_length_c 3.989
_cell_angle_alpha 90.00
_cell_angle_beta 90.00
_cell_angle_gamma 90.00
loop_
_space_group_symop_operation_xyz
'x,y,z'
loop_
_atom_site_label
_atom_site_fract_x
_atom_site_fract_y
_atom_site_fract_z
_atom_site_occupancy
Nd1 0.000 0.101 0.250 1
Nd2 0.000 0.899 0.750 1
Nd3 0.500 0.399 0.750 1
Nd4 0.500 0.601 0.250 1
Ag1 0.000 0.287 0.250 1
Ag2 0.000 0.713 0.750 1
Ag3 0.500 0.213 0.750 1
Ag4 0.500 0.787 0.250 1
Rh1 0.000 0.450 0.250 1
Rh2 0.000 0.550 0.750 1
Rh3 0.500 0.050 0.750 1
Rh4 0.500 0.950 0.250 1
```

(2)
Compound: HgI2
Source: Alexandria
Functional: PBE
Structure: optimized geometry

## Properties
Raw formation energy: -0.271 eV per atom

Geometry as CIF:
```
data_HgI2
_space_group_name_H-M_alt 'P 1'
_space_group_IT_number 1
_cell_length_a 5.245
_cell_length_b 7.563
_cell_length_c 14.042
_cell_angle_alpha 90.00
_cell_angle_beta 90.00
_cell_angle_gamma 90.00
loop_
_space_group_symop_operation_xyz
'x,y,z'
loop_
_atom_site_label
_atom_site_fract_x
_atom_site_fract_y
_atom_site_fract_z
_atom_site_occupancy
Hg1 0.000 0.152 0.000 1
Hg2 0.000 0.848 0.500 1
Hg3 0.500 0.348 0.500 1
Hg4 0.500 0.652 0.000 1
I1 0.000 0.105 0.630 1
I2 0.000 0.409 0.871 1
I3 0.000 0.591 0.371 1
I4 0.000 0.895 0.130 1
I5 0.500 0.091 0.371 1
I6 0.500 0.395 0.130 1
I7 0.500 0.605 0.630 1
I8 0.500 0.909 0.871 1
```

(3)
Compound: Ba2P3Pd6
Source: Alexandria
Functional: PBE
Structure: optimized geometry

## Properties
Energy of formation from the pure elements: -15.36 kcal/mol of atoms

Geometry as CIF:
```
data_Ba2P3Pd6
_space_group_name_H-M_alt 'P 1'
_space_group_IT_number 1
_cell_length_a 7.636
_cell_length_b 7.636
_cell_length_c 4.385
_cell_angle_alpha 90.00
_cell_angle_beta 90.00
_cell_angle_gamma 120.00
loop_
_space_group_symop_operation_xyz
'x,y,z'
loop_
_atom_site_label
_atom_site_fract_x
_atom_site_fract_y
_atom_site_fract_z
_atom_site_occupancy
Ba1 0.333 0.667 0.000 1
Ba2 0.667 0.333 0.000 1
P1 0.000 0.657 0.500 1
P2 0.343 0.343 0.500 1
P3 0.657 0.000 0.500 1
Pd1 0.000 0.284 0.500 1
Pd2 0.000 0.794 0.000 1
Pd3 0.206 0.206 0.000 1
Pd4 0.284 0.000 0.500 1
Pd5 0.716 0.716 0.500 1
Pd6 0.794 0.000 0.000 1
```

For reference, electronic total energy by record: -65.079 -16.864 -58.559 eV/cell.